--- one ---
Material: TlAuI2N
Method: DFT, PBE-GGA
State: optimized geometry

The structure in CIF format:
```
data_TlAuI2N
_symmetry_space_group_name_H-M 'P 4/m m m'
_symmetry_Int_Tables_number 123
_symmetry_space_group_name_Hall '-P 4 2'
_cell_length_a 6.1314
_cell_length_b 6.1314
_cell_length_c 4.2983
_cell_angle_alpha 90.00
_cell_angle_beta 90.00
_cell_angle_gamma 90.00
loop_
_atom_site_label
_atom_site_fract_x
_atom_site_fract_y
_atom_site_fract_z
Tl1 0.0000 0.0000 0.0000
Au1 0.5000 0.5000 0.5000
I1 0.0000 0.5000 0.0000
N1 0.0000 0.0000 0.5000
```

Crystal system: tetragonal

--- two ---
Material: TlAuI2N
Method: DFT, PBE-GGA
State: optimized geometry

The structure in CIF format:
```
data_TlAuI2N
_symmetry_space_group_name_H-M 'P 4/m m m'
_symmetry_Int_Tables_number 123
_symmetry_space_group_name_Hall '-P 4 2'
_cell_length_a 6.3631
_cell_length_b 6.3631
_cell_length_c 3.8089
_cell_angle_alpha 90.00
_cell_angle_beta 90.00
_cell_angle_gamma 90.00
loop_
_atom_site_label
_atom_site_fract_x
_atom_site_fract_y
_atom_site_fract_z
Tl1 0.0000 0.0000 0.0000
Au1 0.5000 0.5000 0.5000
I1 0.0000 0.5000 0.5000
N1 0.5000 0.5000 0.0000
```

Crystal system: tetragonal

Structures ranked by computed energy, the most stable listed first: two, one.